Entry 1:
## La2Si4Os3 (GGA-PBE)

Data for an optimized crystal structure of La2Si4Os3.

Results
ρ: 9.40 Mg/m³
Total DFT energy (no corrections): -7.64 eV/atom
Raw formation energy: -0.396 eV/atom

Cell and atoms, written as extended XYZ:
```
9
Lattice="0.0000 4.9914 6.0189 2.8254 0.0000 6.0189 2.8254 4.9914 0.0000" Properties=species:S:1:pos:R:3 pbc="T T T"
La 2.8254 4.9914 1.6153
La 2.8254 4.9914 10.4226
Si 2.8254 3.1769 4.1832
Si 2.8254 3.1769 7.8547
Si 2.8254 6.8059 4.1832
Si 2.8254 6.8059 7.8547
Os 1.4127 2.4957 0.0000
Os 1.4127 2.4957 6.0189
Os 2.8254 4.9914 6.0189
```

---

Entry 2:
## VS2NCl (GGA-PBE)

Data for an optimized crystal structure of VS2NCl.

Results
ρ: 3.86 Mg/m³
Total DFT energy (no corrections): -4.39 eV/atom
Energy above the lowest structure with this stoichiometry: 0.793 eV/atom
Raw formation energy: 1.120 eV/atom

Cell and atoms, written as extended XYZ:
```
5
Lattice="4.1920 0.0000 0.0000 0.0000 4.1920 0.0000 0.0000 0.0000 4.0238" Properties=species:S:1:pos:R:3 pbc="T T T"
V 0.0000 0.0000 0.0000
S 0.0000 2.0960 2.0119
S 2.0960 0.0000 2.0119
N 2.0960 2.0960 2.0119
Cl 2.0960 2.0960 0.0000
```

---

Entry 3:
## NbAsPtSe2 (GGA-PBE)

Data for an optimized crystal structure of NbAsPtSe2.

Results
ρ: 7.53 Mg/m³
Total DFT energy (no corrections): -4.76 eV/atom
Energy above the lowest structure with this stoichiometry: 0.212 eV/atom
Raw formation energy: 0.787 eV/atom

Cell and atoms, written as extended XYZ:
```
5
Lattice="4.9133 0.0000 0.0000 0.0000 4.9133 0.0000 0.0000 0.0000 4.7571" Properties=species:S:1:pos:R:3 pbc="T T T"
Nb 0.0000 0.0000 0.0000
As 2.4567 2.4567 0.0000
Pt 2.4567 2.4567 2.3786
Se 0.0000 2.4567 2.3786
Se 2.4567 0.0000 2.3786
```

---

Entry 4:
## La2CeCd4 (GGA-PBE)

Data for an optimized crystal structure of La2CeCd4.

Results
ρ: 6.42 Mg/m³
Total DFT energy (no corrections): -2.86 eV/atom

Cell and atoms, written as extended XYZ:
```
7
Lattice="2.7049 1.5617 8.8509 -2.7049 1.5617 8.8509 0.0000 -3.1233 8.8509" Properties=species:S:1:pos:R:3 pbc="T T T"
La 0.0000 0.0000 6.6028
La 0.0000 0.0000 19.9497
Ce 0.0000 0.0000 0.0000
Cd 0.0000 0.0000 3.3201
Cd 0.0000 0.0000 10.0319
Cd 0.0000 0.0000 16.5207
Cd 0.0000 0.0000 23.2325
```